Zr2AsW after structural relaxation, computed with PBE-GGA.

Computed properties:
DOS(E_F) in states/eV per atom: 0.742
Size of the total moment in μB/f.u.: 0.00
Calculated density in g cm⁻³: 9.66
Formation energy in eV per atom: -0.132
Calculated volume in A^3/atom: 18.97

a = 3.474 Å, b = 3.474 Å, c = 6.288 Å
α = 90.00°, β = 90.00°, γ = 90.00°
Space group P4mm (No. 99)
Unique sites:
Zr 0.000 0.000 0.000 (multiplicity 1)
Zr 0.500 0.500 0.292 (multiplicity 1)
As 0.000 0.000 0.537 (multiplicity 1)
W 0.500 0.500 0.740 (multiplicity 1)